Density functional theory data (PBE) for Rb2MnCdI6 after structural relaxation.

Structure (POSCAR):
```
Rb2MnCdI6
1.0
4.1889 2.4185 6.6599
-4.1889 2.4185 6.6599
0.0000 -4.8369 6.6599
Rb Mn Cd I
2 1 1 6
direct
0.0000 0.0000 0.0000
0.4975 0.4975 0.4975
0.2489 0.2489 0.2489
0.7488 0.7488 0.7488
0.0058 0.4320 0.5547
0.0649 0.9433 0.4922
0.4320 0.5547 0.0058
0.4922 0.0649 0.9433
0.5547 0.0058 0.4320
0.9433 0.4922 0.0649
```

- formation energy from raw total energies (eV/atom) = -0.856
- theoretical density (g cm⁻³) = 4.511